CsSrP | PBE | optimized geometry

```
data_CsSrP
_chemical_formula_sum 'Cs4 Sr4 P4'
_cell_length_a 8.176
_cell_length_b 7.266
_cell_length_c 7.355
_cell_angle_alpha 90.00
_cell_angle_beta 90.00
_cell_angle_gamma 90.00
_space_group_name_H-M_alt 'P 1'
_space_group_IT_number 1
_space_group_name_Hall 'P 1'
loop_
_atom_site_label
_atom_site_type_symbol
_atom_site_fract_x
_atom_site_fract_y
_atom_site_fract_z
Cs1 Cs 0.018 0.250 0.083
Cs2 Cs 0.482 0.750 0.583
Cs3 Cs 0.518 0.250 0.417
Cs4 Cs 0.982 0.750 0.917
Sr1 Sr 0.000 0.000 0.500
Sr2 Sr 0.000 0.500 0.500
Sr3 Sr 0.500 0.000 0.000
Sr4 Sr 0.500 0.500 0.000
P1 P 0.248 0.250 0.737
P2 P 0.252 0.750 0.237
P3 P 0.748 0.250 0.763
P4 P 0.752 0.750 0.263
```

Values from the calculation:
The value obtained for the total magnetization is 0.0 μB/cell. The calculation puts the total energy at -2.8993 eV/atom.

=====

AgRh | PBE | optimized geometry

```
data_AgRh
_chemical_formula_sum 'Ag4 Rh4'
_cell_length_a 2.783
_cell_length_b 13.371
_cell_length_c 3.684
_cell_angle_alpha 90.00
_cell_angle_beta 90.00
_cell_angle_gamma 90.00
_space_group_name_H-M_alt 'P 1'
_space_group_IT_number 1
_space_group_name_Hall 'P 1'
loop_
_atom_site_label
_atom_site_type_symbol
_atom_site_fract_x
_atom_site_fract_y
_atom_site_fract_z
Ag1 Ag 0.000 0.078 0.250
Ag2 Ag 0.000 0.922 0.750
Ag3 Ag 0.500 0.422 0.750
Ag4 Ag 0.500 0.578 0.250
Rh1 Rh 0.000 0.293 0.250
Rh2 Rh 0.000 0.707 0.750
Rh3 Rh 0.500 0.207 0.750
Rh4 Rh 0.500 0.793 0.250
```

Values from the calculation:
The value obtained for the total magnetization is 0.0 μB/cell. The calculation puts the total energy at -4.8124 eV/atom.

=====

HfTlPS2 | PBE | optimized geometry

```
data_HfTlPS2
_chemical_formula_sum 'Hf1 Tl1 P1 S2'
_cell_length_a 4.966
_cell_length_b 4.966
_cell_length_c 5.131
_cell_angle_alpha 90.00
_cell_angle_beta 90.00
_cell_angle_gamma 90.00
_space_group_name_H-M_alt 'P 1'
_space_group_IT_number 1
_space_group_name_Hall 'P 1'
loop_
_atom_site_label
_atom_site_type_symbol
_atom_site_fract_x
_atom_site_fract_y
_atom_site_fract_z
Hf1 Hf 0.000 0.000 0.000
Tl1 Tl 0.500 0.500 0.500
P1 P 0.000 0.000 0.500
S1 S 0.000 0.500 0.000
S2 S 0.500 0.000 0.000
```

Values from the calculation:
The formation energy without anion corrections comes out at -0.4825 eV/atom. The value obtained for the total magnetization is 0.0 μB/cell. The calculation puts the total energy at -5.6794 eV/atom.

=====

VPbW3 | PBE | optimized geometry

```
data_VPbW3
_chemical_formula_sum 'V1 Pb1 W3'
_cell_length_a 4.635
_cell_length_b 4.635
_cell_length_c 4.635
_cell_angle_alpha 90.00
_cell_angle_beta 90.00
_cell_angle_gamma 90.00
_space_group_name_H-M_alt 'P 1'
_space_group_IT_number 1
_space_group_name_Hall 'P 1'
loop_
_atom_site_label
_atom_site_type_symbol
_atom_site_fract_x
_atom_site_fract_y
_atom_site_fract_z
V1 V 0.000 0.000 0.000
Pb1 Pb 0.500 0.500 0.500
W1 W 0.000 0.000 0.500
W2 W 0.000 0.500 0.000
W3 W 0.500 0.000 0.000
```

Values from the calculation:
The value obtained for the total magnetization is 0.0 μB/cell. The calculation puts the total energy at -8.6831 eV/atom.

=====

VGaFe2C | PBE | optimized geometry

```
data_VGaFe2C
_chemical_formula_sum 'V1 Ga1 Fe2 C1'
_cell_length_a 3.763
_cell_length_b 3.763
_cell_length_c 4.031
_cell_angle_alpha 90.00
_cell_angle_beta 90.00
_cell_angle_gamma 90.00
_space_group_name_H-M_alt 'P 1'
_space_group_IT_number 1
_space_group_name_Hall 'P 1'
loop_
_atom_site_label
_atom_site_type_symbol
_atom_site_fract_x
_atom_site_fract_y
_atom_site_fract_z
V1 V 0.000 0.000 0.000
Ga1 Ga 0.500 0.500 0.000
Fe1 Fe 0.000 0.500 0.500
Fe2 Fe 0.500 0.000 0.500
C1 C 0.000 0.000 0.500
```

Values from the calculation:
The value obtained for the total magnetization is 3.3 μB/cell. The calculation puts the total energy at -7.7698 eV/atom.

=====

YSbSe2 | PBE | optimized geometry

```
data_YSbSe2
_chemical_formula_sum 'Y2 Sb2 Se4'
_cell_length_a 4.476
_cell_length_b 4.568
_cell_length_c 12.197
_cell_angle_alpha 90.00
_cell_angle_beta 90.00
_cell_angle_gamma 90.00
_space_group_name_H-M_alt 'P 1'
_space_group_IT_number 1
_space_group_name_Hall 'P 1'
loop_
_atom_site_label
_atom_site_type_symbol
_atom_site_fract_x
_atom_site_fract_y
_atom_site_fract_z
Y1 Y 0.000 0.000 0.000
Y2 Y 0.500 0.500 0.500
Sb1 Sb 0.000 0.000 0.500
Sb2 Sb 0.500 0.500 0.000
Se1 Se 0.000 0.500 0.347
Se2 Se 0.000 0.500 0.653
Se3 Se 0.500 0.000 0.153
Se4 Se 0.500 0.000 0.847
```

Values from the calculation:
The formation energy without anion corrections comes out at -0.8545 eV/atom. The value obtained for the total magnetization is 0.0 μB/cell. The calculation puts the total energy at -5.2434 eV/atom.

=====

La5Sm2Tm4 | PBE | optimized geometry

```
data_La5Sm2Tm4
_chemical_formula_sum 'La5 Sm2 Tm4'
_cell_length_a 9.276
_cell_length_b 9.276
_cell_length_c 11.957
_cell_angle_alpha 101.77
_cell_angle_beta 101.77
_cell_angle_gamma 22.40
_space_group_name_H-M_alt 'P 1'
_space_group_IT_number 1
_space_group_name_Hall 'P 1'
loop_
_atom_site_label
_atom_site_type_symbol
_atom_site_fract_x
_atom_site_fract_y
_atom_site_fract_z
La1 La 0.000 0.000 0.000
La2 La 0.335 0.335 0.998
La3 La 0.353 0.353 0.488
La4 La 0.647 0.647 0.512
La5 La 0.665 0.665 0.002
Sm1 Sm 0.149 0.149 0.256
Sm2 Sm 0.851 0.851 0.744
Tm1 Tm 0.188 0.188 0.764
Tm2 Tm 0.480 0.480 0.271
Tm3 Tm 0.520 0.520 0.729
Tm4 Tm 0.812 0.812 0.236
```

Values from the calculation:
The value obtained for the total magnetization is 0.0 μB/cell. The calculation puts the total energy at -4.5943 eV/atom.

=====

Fe3Pt | PBE | optimized geometry

```
data_Fe3Pt
_chemical_formula_sum 'Fe12 Pt4'
_cell_length_a 5.942
_cell_length_b 5.942
_cell_length_c 5.942
_cell_angle_alpha 90.00
_cell_angle_beta 90.00
_cell_angle_gamma 90.00
_space_group_name_H-M_alt 'P 1'
_space_group_IT_number 1
_space_group_name_Hall 'P 1'
loop_
_atom_site_label
_atom_site_type_symbol
_atom_site_fract_x
_atom_site_fract_y
_atom_site_fract_z
Fe1 Fe 0.000 0.000 0.000
Fe2 Fe 0.000 0.500 0.500
Fe3 Fe 0.250 0.250 0.250
Fe4 Fe 0.250 0.250 0.750
Fe5 Fe 0.250 0.750 0.250
Fe6 Fe 0.250 0.750 0.750
Fe7 Fe 0.500 0.000 0.500
Fe8 Fe 0.500 0.500 0.000
Fe9 Fe 0.750 0.250 0.250
Fe10 Fe 0.750 0.250 0.750
Fe11 Fe 0.750 0.750 0.250
Fe12 Fe 0.750 0.750 0.750
Pt1 Pt 0.000 0.000 0.500
Pt2 Pt 0.000 0.500 0.000
Pt3 Pt 0.500 0.000 0.000
Pt4 Pt 0.500 0.500 0.500
```

Values from the calculation:
The value obtained for the total magnetization is 35.8 μB/cell. The calculation puts the total energy at -7.9353 eV/atom.

=====

HfTc2Ir | PBE | optimized geometry

```
data_HfTc2Ir
_chemical_formula_sum 'Hf4 Tc8 Ir4'
_cell_length_a 6.350
_cell_length_b 6.350
_cell_length_c 6.350
_cell_angle_alpha 90.00
_cell_angle_beta 90.00
_cell_angle_gamma 90.00
_space_group_name_H-M_alt 'P 1'
_space_group_IT_number 1
_space_group_name_Hall 'P 1'
loop_
_atom_site_label
_atom_site_type_symbol
_atom_site_fract_x
_atom_site_fract_y
_atom_site_fract_z
Hf1 Hf 0.000 0.000 0.000
Hf2 Hf 0.000 0.500 0.500
Hf3 Hf 0.500 0.000 0.500
Hf4 Hf 0.500 0.500 0.000
Tc1 Tc 0.250 0.250 0.250
Tc2 Tc 0.250 0.250 0.750
Tc3 Tc 0.250 0.750 0.250
Tc4 Tc 0.250 0.750 0.750
Tc5 Tc 0.750 0.250 0.250
Tc6 Tc 0.750 0.250 0.750
Tc7 Tc 0.750 0.750 0.250
Tc8 Tc 0.750 0.750 0.750
Ir1 Ir 0.000 0.000 0.500
Ir2 Ir 0.000 0.500 0.000
Ir3 Ir 0.500 0.000 0.000
Ir4 Ir 0.500 0.500 0.500
```

Values from the calculation:
The value obtained for the total magnetization is 4.8 μB/cell. The calculation puts the total energy at -9.9157 eV/atom.

=====

TlBiBr2 | PBE | optimized geometry

```
data_TlBiBr2
_chemical_formula_sum 'Tl3 Bi3 Br6'
_cell_length_a 3.931
_cell_length_b 3.931
_cell_length_c 31.143
_cell_angle_alpha 90.00
_cell_angle_beta 90.00
_cell_angle_gamma 120.00
_space_group_name_H-M_alt 'P 1'
_space_group_IT_number 1
_space_group_name_Hall 'P 1'
loop_
_atom_site_label
_atom_site_type_symbol
_atom_site_fract_x
_atom_site_fract_y
_atom_site_fract_z
Tl1 Tl 0.000 0.000 0.000
Tl2 Tl 0.333 0.667 0.667
Tl3 Tl 0.667 0.333 0.333
Bi1 Bi 0.000 0.000 0.500
Bi2 Bi 0.333 0.667 0.167
Bi3 Bi 0.667 0.333 0.833
Br1 Br 0.000 0.000 0.408
Br2 Br 0.000 0.000 0.592
Br3 Br 0.333 0.667 0.075
Br4 Br 0.333 0.667 0.258
Br5 Br 0.667 0.333 0.742
Br6 Br 0.667 0.333 0.925
```

Values from the calculation:
The formation energy without anion corrections comes out at -0.4610 eV/atom. The value obtained for the total magnetization is 0.0 μB/cell. The calculation puts the total energy at -2.8593 eV/atom.